[1]
The following is a PBE calculation of a geometry-optimized Na2TlPb8 structure, from the Alexandria database.

```
Na2TlPb8
1.0
-5.029 1.570 3.163
-3.846 -2.126 -5.139
1.381 -6.591 6.131
Na Tl Pb
2 1 8
direct
0.180 0.660 0.323
0.820 0.340 0.677
0.500 0.000 0.000
0.661 0.914 0.329
0.336 0.584 0.670
0.163 0.168 0.338
0.999 0.247 0.999
0.837 0.832 0.662
0.664 0.416 0.330
0.339 0.086 0.671
0.001 0.753 0.001
```

Polymorph energy (0 for the lowest one), meV/atom: 0
Symmetry: P-1 (2)
VASP energy, eV/cell: -34.97
Formation energy from the elements, eV per atom: -0.027

[2]
The following is a PBE calculation of a geometry-optimized NaTl5Pb structure, from the Alexandria database.

```
NaTl5Pb
1.0
9.384 0.000 0.000
-4.692 3.922 0.071
0.000 4.243 11.775
Na Tl Pb
2 10 2
direct
0.000 0.000 0.000
0.000 0.000 0.500
0.986 0.418 0.150
0.765 0.230 0.455
0.432 0.418 0.650
0.096 0.000 0.250
0.535 0.770 0.045
0.465 0.230 0.955
0.904 0.000 0.750
0.568 0.582 0.350
0.235 0.770 0.545
0.014 0.582 0.850
0.459 0.000 0.250
0.541 0.000 0.750
```

Polymorph energy (0 for the lowest one), meV/atom: 0
Symmetry: C2/c (15)
VASP energy, eV/cell: -33.78
Formation energy from the elements, eV per atom: -0.004

[3]
The following is a PBE calculation of a geometry-optimized Na5Tl3Pb3 structure, from the Alexandria database.

```
Na5Tl3Pb3
1.0
3.373 0.000 0.000
0.000 9.662 -5.578
0.000 0.000 11.156
Na Tl Pb
5 3 3
direct
0.500 0.667 0.333
0.500 0.333 0.667
0.500 0.332 0.000
0.500 0.668 0.668
0.500 0.000 0.332
0.000 0.579 0.000
0.000 0.000 0.579
0.000 0.421 0.421
0.500 0.828 0.000
0.500 0.172 0.172
0.500 0.000 0.828
```

Symmetry: P-62m (189)
VASP energy, eV/cell: -24.84
Formation energy from the elements, eV per atom: -0.002